[1]
An optimized crystal structure of Li2HoAlTe4. Source: Alexandria via LeMat-Bulk, functional PBE.

a b c (Å): 8.4678 8.4678 8.6304
angles (deg): 120.63 120.63 90.15
Last column: nearest neighbours and their distance in Å.
Sites, in units of the cell vectors:
Te1 0.2560 0.7608 0.0084  3 Li 2.94-3.03, 1 Al 2.97, 2 Ho 3.04
Te2 0.7440 0.2392 0.9916  3 Li 2.94-3.03, 1 Al 2.97, 2 Ho 3.04
Te3 0.7446 0.7549 0.9750  2 Al 2.84, 3 Li 2.94-3.15, 1 Ho 3.07
Te4 0.7451 0.7554 0.5250  2 Al 2.84, 3 Li 2.94-3.15, 1 Ho 3.07
Te5 0.2549 0.2446 0.4750  2 Al 2.84, 3 Li 2.94-3.15, 1 Ho 3.07
Te6 0.2608 0.7560 0.5084  3 Li 2.94-3.03, 1 Al 2.97, 2 Ho 3.04
Te7 0.2554 0.2451 0.0250  2 Al 2.84, 3 Li 2.94-3.15, 1 Ho 3.07
Te8 0.7392 0.2440 0.4916  3 Li 2.94-3.03, 1 Al 2.97, 2 Ho 3.04
Li1 0.5000 0.0000 0.0000  6 Te 2.94
Li2 0.0000 0.0000 0.5000  6 Te 3.03-3.15
Li3 0.5000 0.5000 0.0000  6 Te 3.03-3.15
Li4 0.5000 0.0000 0.5000  6 Te 2.94
Ho1 0.0000 0.5000 0.5000  6 Te 3.04-3.07
Ho2 0.0000 0.5000 0.0000  6 Te 3.04-3.07
Al1 0.5000 0.5000 0.5000  6 Te 2.84-2.97
Al2 0.0000 0.0000 0.0000  6 Te 2.84-2.97

As for the space group: Imma, No. 74. For the formation energy from raw total energies, the calculation gives -905 meV per atom.

=====

[2]
An optimized crystal structure of CaNd4Dy. Source: Alexandria via LeMat-Bulk, functional PBE.

a b c (Å): 6.8015 6.8015 6.8015
angles (deg): 60.00 60.00 60.00
Last column: nearest neighbours and their distance in Å.
Sites, in units of the cell vectors:
Nd1 0.6267 0.6267 0.1198  6 Nd 3.35-3.45
Nd2 0.1199 0.6267 0.6267  6 Nd 3.35-3.45
Nd3 0.6267 0.6267 0.6267  6 Nd 3.35-3.45
Nd4 0.6267 0.1198 0.6267  6 Nd 3.35-3.45
Dy1 0.0000 0.0000 0.0000  12 Nd 3.98, 4 Ca 4.17
Ca1 0.2500 0.2500 0.2500  12 Nd 3.99, 4 Dy 4.17

As for the space group: F-43m, No. 216. For the energy above the most stable polymorph in this dataset, the calculation gives 174 meV/atom.

=====

[3]
An optimized crystal structure of Fe8Tc3Os. Source: Alexandria via LeMat-Bulk, functional PBE.

a b c (Å): 4.6496 4.6496 7.6154
angles (deg): 90.00 90.00 120.00
Last column: nearest neighbours and their distance in Å.
Sites, in units of the cell vectors:
Fe1 0.1636 0.3272 0.2502  6 Fe 2.28-2.37
Fe2 0.6728 0.8364 0.2502  6 Fe 2.28-2.37
Fe3 0.5028 0.4972 0.7498  6 Fe 2.29-2.36
Fe4 0.3333 0.6667 0.5002  6 Fe 2.34
Fe5 0.3333 0.6667 0.0010  6 Fe 2.34-2.35
Fe6 0.5028 0.0056 0.7498  6 Fe 2.29-2.36
Fe7 0.9944 0.4972 0.7498  6 Fe 2.29-2.36
Fe8 0.1636 0.8364 0.2502  6 Fe 2.28-2.37
Tc1 0.0000 0.0000 0.9356  12 Fe 2.72-2.73, 1 Os 2.84, 3 Tc 2.86
Tc2 0.6667 0.3333 0.4374  12 Fe 2.72-2.73, 1 Tc 2.85, 3 Os 2.85
Tc3 0.6667 0.3333 0.0637  12 Fe 2.72-2.73, 4 Tc 2.85-2.86
Os1 0.0000 0.0000 0.5622  12 Fe 2.72-2.73, 4 Tc 2.84-2.85

As for the space group: P3m1, No. 156.

=====

Looking at calculated total energy for the records above, in order, we have -3.9947, -4.0642, -9.1237 eV per atom.